1.
Computed, not measured: crystalline Ce3TcOs at its relaxed geometry at the PBE-GGA level of DFT.

Computed properties:
crystal system = monoclinic
total magnetization = 0.24 μB/f.u.
DFT total energy = -7.92 eV per atom

Cell and atoms, written as POSCAR:
```
Ce3TcOs
1.0
6.566 -5.884 0.000
6.566 5.884 0.000
-0.993 0.000 6.835
Ce Tc Os
12 4 4
direct
0.039 0.203 0.111
0.133 0.623 0.383
0.203 0.039 0.611
0.290 0.447 0.850
0.377 0.867 0.117
0.447 0.290 0.350
0.553 0.710 0.650
0.623 0.133 0.883
0.710 0.553 0.150
0.797 0.961 0.389
0.867 0.377 0.617
0.961 0.797 0.889
0.182 0.341 0.422
0.341 0.182 0.922
0.659 0.818 0.078
0.818 0.659 0.578
0.100 0.900 0.250
0.270 0.730 0.750
0.730 0.270 0.250
0.900 0.100 0.750
```

---

2.
Computed, not measured: crystalline Y2Pd7Au at its relaxed geometry at the PBE-GGA level of DFT.

Computed properties:
crystal system = orthorhombic
total magnetization = 0.00 μB/f.u.
DFT total energy = -5.38 eV per atom

Cell and atoms, written as POSCAR:
```
Y2Pd7Au
1.0
3.655 -7.626 0.000
3.655 7.626 0.000
0.000 0.000 3.895
Y Pd Au
2 7 1
direct
0.193 0.807 0.000
0.807 0.193 0.000
0.000 0.000 0.000
0.215 0.405 0.000
0.319 0.681 0.500
0.405 0.215 0.000
0.595 0.785 0.000
0.681 0.319 0.500
0.785 0.595 0.000
0.500 0.500 0.500
```

---

DFT total energy of number 2 (Y2Pd7Au)? -5.38 eV per atom